Below is an optimized crystal structure of Tl3Bi2Au3, with properties calculated at the GGA-PBE level.

Values from the calculation:
symmetry = R-3m

Cell: 8.270 8.270 8.270 Å, 41.39 41.39 41.39°
Fractional coordinates of all 8 atoms:
Au1 0.500 0.000 0.500
Bi1 0.228 0.228 0.228
Bi2 0.772 0.772 0.772
Tl1 0.923 0.923 0.923
Tl2 0.077 0.077 0.077
Au2 0.000 0.500 0.500
Au3 0.500 0.500 0.000
Tl3 0.500 0.500 0.500



Below is an optimized crystal structure of TbDySi, with properties calculated at the GGA-PBE level.

Values from the calculation:
symmetry = F-43m

Cell: 4.852 4.852 4.852 Å, 60.00 60.00 60.00°
Fractional coordinates of all 3 atoms:
Si1 0.000 0.000 0.000
Tb1 0.750 0.750 0.750
Dy1 0.250 0.250 0.250



Results for E_tot: -3.130, -5.354 (in eV per atom, following the order of the records).